K3Np3InTe8, optimized geometry, DFT PBE-GGA; VASP energy = -0.1992 hartree per atom; formation energy from raw total energies = -0.7541 eV/atom; total magnetization = 0.72 μB per atom; symmetry = R-3m; crystal system = trigonal; density = 5.63 g cm⁻³
1.0
-4.0554 2.7082 -7.5494
8.1892 -3.6877 -0.3723
-7.5214 -5.9368 1.9109
Te K Np In
8 3 3 1
Direct
0.7317 0.9677 0.7037
0.7363 0.4726 0.7090
0.2360 0.9677 0.7037
0.2362 0.4723 0.7038
0.2683 0.0323 0.2963
0.7638 0.5277 0.2962
0.2637 0.5274 0.2910
0.7640 0.0323 0.2963
0.5000 0.5000 0.0000
0.0000 0.5000 0.0000
0.0000 0.0000 0.0000
0.5000 0.5000 0.5000
0.0000 0.5000 0.5000
0.5000 0.0000 0.5000
0.0000 0.0000 0.5000

=====

Ba2Al2Ir, optimized geometry, DFT PBE-GGA; relative energy among the computed polymorphs = 1415 meV/atom; VASP energy = -0.1126 hartree per atom; energy of formation from the pure elements = 94 kJ per mole of atoms; total magnetization = 0.00 μB per atom; symmetry = I4/mmm; crystal system = tetragonal; density = 6.27 g cm⁻³
1.0
4.3268 0.0000 0.0000
0.0000 4.3268 0.0000
2.1634 2.1634 7.3675
Al Ir Ba
2 1 2
Direct
0.5810 0.5810 0.8381
0.4190 0.4190 0.1619
0.0000 0.0000 0.0000
0.2500 0.7500 0.5000
0.7500 0.2500 0.5000

=====

Y3Zn4Cu4, optimized geometry, DFT PBE-GGA; relative energy among the computed polymorphs = 0 meV/atom; VASP energy = -0.1472 hartree per atom; energy of formation from the pure elements = -28 kJ per mole of atoms; total magnetization = 0.00 μB per atom; symmetry = P-1; crystal system = triclinic; density = 6.39 g cm⁻³
1.0
3.6485 -0.0027 0.0059
-0.0027 4.2143 -0.0044
1.8268 2.0708 13.2207
Zn Cu Y
4 4 3
Direct
0.4067 0.9048 0.1910
0.2549 0.2565 0.4899
0.7451 0.7435 0.5101
0.5933 0.0953 0.8090
0.4553 0.4524 0.0943
0.5447 0.5476 0.9057
0.3121 0.8119 0.3785
0.6880 0.1881 0.6215
0.0000 0.0000 0.0000
0.8551 0.3537 0.2926
0.1449 0.6463 0.7074

=====

LiTiSiO4, optimized geometry, DFT PBE-GGA; relative energy among the computed polymorphs = 11 meV/atom; VASP energy = -0.2813 hartree per atom; formation energy from raw total energies = -2.6461 eV/atom; total magnetization = 0.14 μB per atom; symmetry = P4_322; crystal system = tetragonal; density = 3.63 g cm⁻³
1.0
5.7303 0.0000 0.0000
0.0000 5.7303 0.0000
0.0000 0.0000 8.1820
O Li Si Ti
16 4 4 4
Direct
0.7437 0.4851 0.4949
0.7421 0.9914 0.0118
0.2579 0.0086 0.5118
0.4851 0.2563 0.7449
0.4851 0.7437 0.7551
0.7421 0.0086 0.4882
0.5149 0.7437 0.2449
0.9914 0.2579 0.2618
0.2579 0.9914 0.9882
0.5149 0.2563 0.2551
0.9914 0.7421 0.2382
0.2563 0.5149 0.9949
0.7437 0.5149 0.0051
0.0086 0.7421 0.7618
0.2563 0.4851 0.5051
0.0086 0.2579 0.7382
0.0000 0.2265 0.0000
0.0000 0.7735 0.5000
0.2265 0.0000 0.2500
0.7735 0.0000 0.7500
0.7530 0.7530 0.1250
0.7530 0.2470 0.3750
0.2470 0.2470 0.6250
0.2470 0.7530 0.8750
0.2454 0.5000 0.2500
0.5000 0.7546 0.5000
0.7546 0.5000 0.7500
0.5000 0.2454 0.0000

=====

La8Mg2Sc, optimized geometry, DFT PBE-GGA; VASP energy = -0.1633 hartree per atom; energy of formation from the pure elements = 1 kJ per mole of atoms; total magnetization = 0.00 μB per atom; symmetry = C2/m; crystal system = monoclinic; density = 5.44 g cm⁻³
1.0
4.9141 0.0000 -1.5868
-1.0803 7.4755 -3.3456
0.3039 1.1436 9.3436
La Mg Sc
8 2 1
Direct
0.1344 0.1870 0.2687
0.3168 0.0667 0.6336
0.4066 0.5435 0.8132
0.8656 0.8130 0.7313
0.0509 0.7389 0.1019
0.6832 0.9333 0.3664
0.5934 0.4565 0.1868
0.9491 0.2611 0.8981
0.7725 0.3689 0.5451
0.2275 0.6311 0.4549
0.5000 0.0000 0.0000

=====

PaCoNi2, optimized geometry, DFT PBE-GGA; VASP energy = -0.2739 hartree per atom; energy of formation from the pure elements = -40 kJ per mole of atoms; total magnetization = 0.00 μB per atom; symmetry = P4/mmm; crystal system = tetragonal; density = 11.93 g cm⁻³
1.0
4.0105 0.0000 0.0000
0.0000 3.7597 0.0000
0.0000 0.0000 3.7597
Pa Co Ni
1 1 2
Direct
0.5000 0.5000 0.5000
0.5000 0.0000 0.0000
0.0000 0.5000 0.0000
0.0000 0.0000 0.5000

=====

V2CoAs, optimized geometry, DFT PBE-GGA; VASP energy = -0.2845 hartree per atom; energy of formation from the pure elements = -24 kJ per mole of atoms; total magnetization = 0.00 μB per atom; symmetry = P4/mmm; crystal system = tetragonal; density = 7.72 g cm⁻³
1.0
-1.9685 1.4468 3.1012
-3.0473 -1.3679 -1.2961
0.5995 -3.0401 1.7988
V Co As
2 1 1
Direct
0.0000 0.0000 0.5000
0.0000 0.5000 0.0000
0.5000 0.5000 0.5000
0.5000 0.0000 0.0000

=====

LiI, optimized geometry, DFT PBE-GGA; relative energy among the computed polymorphs = 19 meV/atom; VASP energy = -0.1077 hartree per atom; formation energy from raw total energies = -1.1978 eV/atom; total magnetization = 0.00 μB per atom; symmetry = P6_3/m; crystal system = hexagonal; density = 2.78 g cm⁻³
1.0
-0.3771 4.0005 -10.1234
-9.2331 -1.8307 5.4797
0.1539 4.3390 1.7089
I Li
6 6
Direct
0.3091 0.4011 0.7500
0.5989 0.9079 0.7500
0.6909 0.5989 0.2500
0.4011 0.0921 0.2500
0.0921 0.6909 0.7500
0.9079 0.3091 0.2500
0.0649 0.4200 0.7500
0.6448 0.0649 0.2500
0.3552 0.9351 0.7500
0.5800 0.6448 0.7500
0.4200 0.3552 0.2500
0.9351 0.5800 0.2500

=====

Mo2IrBr, optimized geometry, DFT PBE-GGA; relative energy among the computed polymorphs = 94 meV/atom; VASP energy = -0.2781 hartree per atom; formation energy from raw total energies = 0.4805 eV/atom; total magnetization = 0.00 μB per atom; symmetry = P4/mmm; crystal system = tetragonal; density = 12.21 g cm⁻³
1.0
2.9994 0.0030 0.0000
-0.0031 2.9994 0.0000
0.0000 0.0000 7.0125
Mo Br Ir
2 1 1
Direct
0.0000 0.0000 0.0015
0.0000 0.0000 0.4985
0.5000 0.5000 0.2500
0.5000 0.5000 0.7500

=====

Ba2Mg3Pb5, optimized geometry, DFT PBE-GGA; relative energy among the computed polymorphs = 0 meV/atom; VASP energy = -0.1119 hartree per atom; energy of formation from the pure elements = -32 kJ per mole of atoms; total magnetization = 0.00 μB per atom; symmetry = Ibam; crystal system = orthorhombic; density = 7.02 g cm⁻³
1.0
6.8831 0.0000 2.2939
2.7494 9.3425 3.2238
0.4092 -0.3033 10.2458
Pb Ba Mg
10 4 6
Direct
0.5211 0.2289 0.2289
0.4789 0.7711 0.7711
0.0211 0.2289 0.2289
0.1020 0.0524 0.7436
0.6020 0.7436 0.0524
0.7500 0.5000 0.5000
0.8980 0.9476 0.2564
0.3980 0.2564 0.9476
0.9789 0.7711 0.7711
0.2500 0.5000 0.5000
0.1316 0.6056 0.1313
0.8684 0.3944 0.8687
0.6316 0.1313 0.6056
0.3684 0.8687 0.3944
0.1330 0.2579 0.4762
0.7500 0.0000 0.0000
0.3670 0.5238 0.7421
0.2500 0.0000 0.0000
0.6330 0.4762 0.2579
0.8670 0.7421 0.5238

=====

Pm4Nd3Dy5, optimized geometry, DFT PBE-GGA; relative energy among the computed polymorphs = 203 meV/atom; VASP energy = -0.1645 hartree per atom; energy of formation from the pure elements = 21 kJ per mole of atoms; total magnetization = 0.01 μB per atom; symmetry = C2/m; crystal system = monoclinic; density = 7.41 g cm⁻³
1.0
-1.6160 3.8600 -4.2948
-8.5293 -0.3067 -1.2524
1.8990 9.0403 3.2245
Nd Pm Dy
3 4 5
Direct
0.5224 0.6871 0.2681
0.0000 0.5000 0.5000
0.4776 0.3129 0.7319
0.1391 0.7773 0.9445
0.1701 0.0402 0.6196
0.8609 0.2227 0.0555
0.8299 0.9598 0.3804
0.3746 0.0534 0.1974
0.6254 0.9466 0.8026
0.7844 0.5437 0.8875
0.5000 0.5000 0.5000
0.2156 0.4563 0.1125

=====

Sr2PuGaSe5, optimized geometry, DFT PBE-GGA; VASP energy = -0.2100 hartree per atom; formation energy from raw total energies = -1.4755 eV/atom; total magnetization = 0.55 μB per atom; symmetry = Cmc2_1; crystal system = orthorhombic; density = 5.84 g cm⁻³
1.0
-2.9733 2.7173 1.0356
-5.0567 -7.2232 -3.9164
-1.0355 -5.5291 11.5346
Pu Se Sr Ga
2 10 4 2
Direct
0.7951 0.5903 0.5240
0.2049 0.4097 0.0240
0.0444 0.0887 0.0415
0.6442 0.2884 0.5067
0.7053 0.4106 0.1766
0.9556 0.9113 0.5415
0.4986 0.9973 0.7693
0.3558 0.7116 0.0067
0.6834 0.3668 0.8647
0.3166 0.6332 0.3647
0.2947 0.5894 0.6766
0.5014 0.0027 0.2693
0.1226 0.2452 0.3260
0.8826 0.7653 0.1823
0.8774 0.7548 0.8260
0.1174 0.2347 0.6823
0.5584 0.1168 0.9328
0.4416 0.8832 0.4328

=====

- Among the records above, which one has the lowest VASP energy?
  V2CoAs